Below is a crystal of Ca2PbAu relaxed with PBEsol, with properties calculated at the meta-GGA SCAN level.

extended XYZ file:
```
4
Lattice="-3.070 1.946 0.042 -2.218 -3.560 2.787 4.410 3.488 3.416" Properties=species:S:1:pos:R:3 pbc="T T T"
Pb -2.499 -0.587 1.810
Au -0.225 -0.438 3.811
Ca -1.024 1.653 5.846
Ca -0.652 2.314 2.436
```

Calculated values
As for the space group: Imm2, No. 44. For the total energy, the calculation gives -41.804 eV per atom. The total magnetization comes out at 0.00 μB per cell.